# 1
## Y3Tm3Rh2 (GGA-PBE)

Data for a relaxed Y3Tm3Rh2 crystal.

Results
As for the space group: Cmcm (63). For the formation energy from the elements, the calculation gives -421 meV per atom. The calculation puts the density of states at the Fermi level at 16.6 states/eV/cell. The total energy is -6.36 eV per atom.

abc: 6.760 6.760 17.868
angles: 90.00 90.00 147.58
Atoms (fractional coordinates):
Y1 0.058 0.942 0.591
Y2 0.058 0.942 0.909
Y3 0.292 0.708 0.750
Y4 0.708 0.292 0.250
Y5 0.942 0.058 0.091
Y6 0.942 0.058 0.409
Tm1 0.330 0.670 0.557
Tm2 0.330 0.670 0.943
Tm3 0.435 0.565 0.250
Tm4 0.565 0.435 0.750
Tm5 0.670 0.330 0.057
Tm6 0.670 0.330 0.443
Rh1 0.289 0.711 0.134
Rh2 0.289 0.711 0.366
Rh3 0.711 0.289 0.634
Rh4 0.711 0.289 0.866



# 2
## YTm2Rh2 (GGA-PBE)

Data for a relaxed YTm2Rh2 crystal.

Results
As for the space group: Cmc2_1 (36). For the formation energy from the elements, the calculation gives -654 meV per atom. The value obtained for the energy relative to the lowest polymorph listed for this composition is 98 meV per atom. The calculation puts the density of states at the Fermi level at 5.2 states/eV/cell. The total energy is -6.68 eV per atom.

abc: 8.577 8.577 7.282
angles: 90.00 90.00 153.92
Atoms (fractional coordinates):
Y1 0.124 0.876 0.500
Y2 0.876 0.124 0.000
Tm1 0.313 0.687 0.386
Tm2 0.469 0.531 0.669
Tm3 0.531 0.469 0.169
Tm4 0.687 0.313 0.886
Rh1 0.053 0.947 0.870
Rh2 0.302 0.698 0.777
Rh3 0.698 0.302 0.277
Rh4 0.947 0.053 0.370



# 3
## Y4Tm3Rh4 (GGA-PBE)

Data for a relaxed Y4Tm3Rh4 crystal.

Results
As for the space group: Immm (71). For the formation energy from the elements, the calculation gives -632 meV per atom. The calculation puts the density of states at the Fermi level at 7.3 states/eV/cell. The total energy is -6.88 eV per atom.

abc: 9.336 9.336 9.336
angles: 157.62 122.84 62.16
Atoms (fractional coordinates):
Y1 0.022 0.836 0.186
Y2 0.350 0.164 0.186
Y3 0.650 0.836 0.814
Y4 0.978 0.164 0.814
Tm1 0.000 0.500 0.500
Tm2 0.399 0.399 0.000
Tm3 0.601 0.601 0.000
Rh1 0.257 0.757 0.500
Rh2 0.287 0.000 0.287
Rh3 0.713 0.000 0.713
Rh4 0.743 0.243 0.500



# 4
## YTmRh4 (GGA-PBE)

Data for a relaxed YTmRh4 crystal.

Results
As for the space group: F-43m (216). For the formation energy from the elements, the calculation gives -748 meV per atom. The calculation puts the density of states at the Fermi level at 4.2 states/eV/cell. The total energy is -7.47 eV per atom.

abc: 5.325 5.325 5.325
angles: 60.00 60.00 60.00
Atoms (fractional coordinates):
Y1 0.000 0.000 0.000
Tm1 0.750 0.750 0.750
Rh1 0.375 0.375 0.375
Rh2 0.375 0.375 0.875
Rh3 0.375 0.875 0.375
Rh4 0.875 0.375 0.375



# 5
## Y4TmRh5 (GGA-PBE)

Data for a relaxed Y4TmRh5 crystal.

Results
As for the space group: P4/mmm (123). For the formation energy from the elements, the calculation gives -860 meV per atom. The calculation puts the density of states at the Fermi level at 6.2 states/eV/cell. The total energy is -7.57 eV per atom.

abc: 3.387 3.387 17.514
angles: 90.00 90.00 90.00
Atoms (fractional coordinates):
Y1 0.000 0.000 0.101
Y2 0.000 0.000 0.302
Y3 0.000 0.000 0.698
Y4 0.000 0.000 0.899
Tm1 0.000 0.000 0.500
Rh1 0.500 0.500 0.000
Rh2 0.500 0.500 0.202
Rh3 0.500 0.500 0.404
Rh4 0.500 0.500 0.596
Rh5 0.500 0.500 0.798



# 6
## Y3Tm2Rh2 (GGA-PBE)

Data for a relaxed Y3Tm2Rh2 crystal.

Results
As for the space group: C2/m (12). For the formation energy from the elements, the calculation gives -579 meV per atom. The calculation puts the density of states at the Fermi level at 6.4 states/eV/cell. The total energy is -6.73 eV per atom.

abc: 6.292 6.292 8.863
angles: 114.52 114.52 35.01
Atoms (fractional coordinates):
Y1 0.000 0.000 0.000
Y2 0.115 0.115 0.430
Y3 0.885 0.885 0.570
Tm1 0.332 0.332 0.190
Tm2 0.668 0.668 0.810
Rh1 0.319 0.319 0.763
Rh2 0.681 0.681 0.237



# 7
## YTm2Rh (GGA-PBE)

Data for a relaxed YTm2Rh crystal.

Results
As for the space group: R-3m (166). For the formation energy from the elements, the calculation gives -343 meV per atom. The value obtained for the energy relative to the lowest polymorph listed for this composition is 209 meV per atom. The calculation puts the density of states at the Fermi level at 5.1 states/eV/cell. The total energy is -6.03 eV per atom.

abc: 9.673 9.673 9.673
angles: 22.04 22.04 22.04
Atoms (fractional coordinates):
Y1 0.000 0.000 0.000
Tm1 0.226 0.226 0.226
Tm2 0.774 0.774 0.774
Rh1 0.500 0.500 0.500



# 8
## YTm3Rh8 (GGA-PBE)

Data for a relaxed YTm3Rh8 crystal.

Results
As for the space group: P3m1 (156). For the formation energy from the elements, the calculation gives -738 meV per atom. The calculation puts the density of states at the Fermi level at 7.3 states/eV/cell. The total energy is -7.30 eV per atom.

abc: 5.313 5.313 8.684
angles: 90.00 90.00 120.00
Atoms (fractional coordinates):
Y1 0.000 0.000 0.000
Tm1 0.000 0.000 0.368
Tm2 0.667 0.333 0.499
Tm3 0.667 0.333 0.866
Rh1 0.164 0.328 0.682
Rh2 0.164 0.836 0.682
Rh3 0.333 0.667 0.433
Rh4 0.333 0.667 0.933
Rh5 0.503 0.005 0.184
Rh6 0.503 0.497 0.184
Rh7 0.672 0.836 0.682
Rh8 0.995 0.497 0.184